Computed, not measured: RbHfAgTe3 after structural relaxation at the GGA-PBEsol level of DFT.

a b c (Å): 9.014 4.156 10.783
angles (deg): 90.00 112.40 90.00
Atoms (fractional coordinates):
Rb1 0.245 0.250 0.217
Rb2 0.755 0.750 0.783
Hf1 0.198 0.750 0.668
Hf2 0.802 0.250 0.332
Ag1 0.425 0.250 0.897
Ag2 0.575 0.750 0.103
Te1 0.044 0.750 0.374
Te2 0.239 0.750 0.939
Te3 0.402 0.250 0.635
Te4 0.598 0.750 0.365
Te5 0.761 0.250 0.061
Te6 0.956 0.250 0.626

* raw formation energy: -752 meV per atom
* crystal system: monoclinic
* calculated density: 6.711 Mg/m³
* calculated volume: 31.12 A^3/atom
* spin magnetization: 0.00 μB/cell


Computed, not measured: Tm3FeSi3 after structural relaxation at the GGA-PBEsol level of DFT.

a b c (Å): 5.502 5.502 13.184
angles (deg): 109.56 109.56 43.42
Atoms (fractional coordinates):
Tm1 0.024 0.024 0.379
Tm2 0.100 0.100 0.919
Tm3 0.250 0.250 0.230
Tm4 0.750 0.750 0.770
Tm5 0.900 0.900 0.081
Tm6 0.976 0.976 0.621
Fe1 0.253 0.253 0.584
Fe2 0.747 0.747 0.416
Si1 0.357 0.357 0.457
Si2 0.385 0.385 0.925
Si3 0.444 0.444 0.757
Si4 0.556 0.556 0.243
Si5 0.615 0.615 0.075
Si6 0.643 0.643 0.543

* raw formation energy: -823 meV per atom
* crystal system: monoclinic
* calculated density: 8.397 Mg/m³
* calculated volume: 18.28 A^3/atom
* spin magnetization: 0.00 μB/cell